Entry from the Alexandria database: crystalline PrMgScCu at its relaxed geometry (GGA-PBE).

The value obtained for the energy of formation is -0.01 eV per atom. The symmetry is F-43m, No. 216.

Structure (POSCAR):
```
PrMgScCu
1.0
0.000 3.604 3.604
3.604 0.000 3.604
3.604 3.604 0.000
Pr Mg Sc Cu
1 1 1 1
direct
0.000 0.000 0.000
0.750 0.750 0.750
0.500 0.500 0.500
0.250 0.250 0.250
```



Entry from the Alexandria database: crystalline PrMg2CuSe4 at its relaxed geometry (GGA-PBE).

The calculation puts the formation energy (no corrections) at -926 kJ/mol of formula units. The symmetry is Cmcm, No. 63.

Structure (POSCAR):
```
PrMg2CuSe4
1.0
2.001 -6.567 0.000
2.001 6.567 0.000
0.000 0.000 13.524
Pr Mg Cu Se
2 4 2 8
direct
0.122 0.878 0.750
0.878 0.122 0.250
0.375 0.625 0.560
0.375 0.625 0.940
0.625 0.375 0.060
0.625 0.375 0.440
0.151 0.849 0.250
0.849 0.151 0.750
0.000 0.000 0.000
0.000 0.000 0.500
0.274 0.726 0.114
0.274 0.726 0.386
0.453 0.547 0.750
0.547 0.453 0.250
0.726 0.274 0.614
0.726 0.274 0.886
```



Entry from the Alexandria database: crystalline PrMgCuSe3 at its relaxed geometry (GGA-PBE).

The calculation puts the formation energy (no corrections) at -719 kJ/mol of formula units. The symmetry is P2_1/m, No. 11.

Structure (POSCAR):
```
PrMgCuSe3
1.0
8.047 0.000 0.000
0.000 3.990 0.000
-1.928 0.000 8.578
Pr Mg Cu Se
2 2 2 6
direct
0.185 0.250 0.246
0.815 0.750 0.754
0.340 0.750 0.845
0.660 0.250 0.155
0.075 0.250 0.579
0.925 0.750 0.421
0.100 0.250 0.865
0.244 0.750 0.520
0.426 0.750 0.157
0.574 0.250 0.843
0.756 0.250 0.480
0.900 0.750 0.135
```



Entry from the Alexandria database: crystalline PrMgCu2Si2 at its relaxed geometry (GGA-PBE).

The calculation puts the formation energy (no corrections) at -262 kJ/mol of formula units. The symmetry is P-3m1, No. 164.

Structure (POSCAR):
```
PrMgCu2Si2
1.0
4.162 0.000 0.000
-2.081 3.604 0.000
0.000 0.000 7.027
Pr Mg Cu Si
1 1 2 2
direct
0.000 0.000 0.000
0.000 0.000 0.500
0.333 0.667 0.681
0.667 0.333 0.319
0.333 0.667 0.277
0.667 0.333 0.723
```



Entry from the Alexandria database: crystalline PrMg2Cu2Si2 at its relaxed geometry (GGA-PBE).

The calculation puts the formation energy (no corrections) at -269 kJ/mol of formula units. The symmetry is R-3m, No. 166.

Structure (POSCAR):
```
PrMg2Cu2Si2
1.0
2.111 1.219 8.289
-2.111 1.219 8.289
0.000 -2.438 8.289
Pr Mg Cu Si
1 2 2 2
direct
0.000 0.000 0.000
0.135 0.135 0.135
0.865 0.865 0.865
0.418 0.418 0.418
0.582 0.582 0.582
0.252 0.252 0.252
0.748 0.748 0.748
```



Entry from the Alexandria database: crystalline PrMg2CuSi2 at its relaxed geometry (GGA-PBE).

The calculation puts the formation energy (no corrections) at 49 kJ/mol of formula units. The symmetry is I4/mmm, No. 139.

Structure (POSCAR):
```
PrMg2CuSi2
1.0
-2.577 2.577 5.305
2.577 -2.577 5.305
2.577 2.577 -5.305
Pr Mg Cu Si
1 2 1 2
direct
0.000 0.000 0.000
0.250 0.750 0.500
0.750 0.250 0.500
0.500 0.500 0.000
0.293 0.293 0.000
0.707 0.707 0.000
```



Entry from the Alexandria database: crystalline PrMgCuSi at its relaxed geometry (GGA-PBE).

The calculation puts the formation energy (no corrections) at -98 kJ/mol of formula units. The symmetry is F-43m, No. 216.

Structure (POSCAR):
```
PrMgCuSi
1.0
0.000 3.442 3.442
3.442 0.000 3.442
3.442 3.442 0.000
Pr Mg Cu Si
1 1 1 1
direct
0.000 0.000 0.000
0.500 0.500 0.500
0.250 0.250 0.250
0.750 0.750 0.750
```



Entry from the Alexandria database: crystalline PrMgCuSi2 at its relaxed geometry (GGA-PBE).

The calculation puts the formation energy (no corrections) at -218 kJ/mol of formula units. The symmetry is I-4m2, No. 119.

Structure (POSCAR):
```
PrMgCuSi2
1.0
-2.087 2.087 5.407
2.087 -2.087 5.407
2.087 2.087 -5.407
Pr Mg Cu Si
1 1 1 2
direct
0.000 0.000 0.000
0.750 0.250 0.500
0.250 0.750 0.500
0.390 0.390 0.000
0.610 0.610 0.000
```



Entry from the Alexandria database: crystalline PrSmMgCu at its relaxed geometry (GGA-PBE).

The value obtained for the energy of formation is -0.04 eV per atom. The symmetry is F-43m, No. 216.

Structure (POSCAR):
```
PrSmMgCu
1.0
0.000 3.737 3.737
3.737 0.000 3.737
3.737 3.737 0.000
Pr Sm Mg Cu
1 1 1 1
direct
0.000 0.000 0.000
0.500 0.500 0.500
0.250 0.250 0.250
0.750 0.750 0.750
```



Entry from the Alexandria database: crystalline PrMgCuSn at its relaxed geometry (GGA-PBE).

The value obtained for the energy of formation is -0.30 eV per atom. The symmetry is F-43m, No. 216.

Structure (POSCAR):
```
PrMgCuSn
1.0
0.000 3.606 3.606
3.606 0.000 3.606
3.606 3.606 0.000
Pr Mg Cu Sn
1 1 1 1
direct
0.000 0.000 0.000
0.500 0.500 0.500
0.250 0.250 0.250
0.750 0.750 0.750
```



Entry from the Alexandria database: crystalline PrMg2Cu2Sn2 at its relaxed geometry (GGA-PBE).

The value obtained for the energy of formation is -0.34 eV per atom. The symmetry is R-3m, No. 166.

Structure (POSCAR):
```
PrMg2Cu2Sn2
1.0
2.279 1.316 8.548
-2.279 1.316 8.548
0.000 -2.632 8.548
Pr Mg Cu Sn
1 2 2 2
direct
0.000 0.000 0.000
0.135 0.135 0.135
0.865 0.865 0.865
0.414 0.414 0.414
0.586 0.586 0.586
0.254 0.254 0.254
0.746 0.746 0.746
```